Entry 1:
Crystalline Ti5Ga3Sn at its relaxed geometry. Source: the Alexandria database, functional PBE. Values from VASP.

The structure in Quantum ESPRESSO input format:
```
&SYSTEM
  ibrav = 0, nat = 18, ntyp = 3
/
ATOMIC_SPECIES
Sn 118.71 Sn.upf
Ga 69.72 Ga.upf
Ti 47.87 Ti.upf
CELL_PARAMETERS angstrom
5.580 0.133 -0.095
1.655 5.330 -0.095
2.758 2.083 11.389
ATOMIC_POSITIONS crystal
Sn 0.904 0.904 0.278
Sn 0.096 0.096 0.722
Ga 0.000 0.000 0.500
Ga 0.789 0.789 0.880
Ga 0.651 0.651 0.533
Ga 0.211 0.211 0.120
Ga 0.349 0.349 0.467
Ga 0.000 0.000 0.000
Ti 0.415 0.415 0.240
Ti 0.344 0.656 0.000
Ti 0.392 0.860 0.335
Ti 0.860 0.392 0.335
Ti 0.714 0.714 0.122
Ti 0.286 0.286 0.878
Ti 0.585 0.585 0.760
Ti 0.656 0.344 0.000
Ti 0.140 0.608 0.665
Ti 0.608 0.140 0.665
```

Values from the calculation:
- Energy of formation: 0.0107 eV per atom
- Final energy: -104.9 eV for the cell shown
- Space group: C2/m, No. 12
- D(E_F): 15.04 states/eV per cell

***

Entry 2:
Crystalline TiGaSn3 at its relaxed geometry. Source: the Alexandria database, functional PBE. Values from VASP.

The structure in Quantum ESPRESSO input format:
```
&SYSTEM
  ibrav = 0, nat = 5, ntyp = 3
/
ATOMIC_SPECIES
Sn 118.71 Sn.upf
Ti 47.87 Ti.upf
Ga 69.72 Ga.upf
CELL_PARAMETERS angstrom
-1.400 4.088 3.061
-4.681 0.243 -2.465
-2.044 -3.357 3.549
ATOMIC_POSITIONS crystal
Sn 0.000 0.500 0.000
Sn 0.500 0.000 0.000
Sn 0.000 0.000 0.500
Ti 0.000 0.000 0.000
Ga 0.500 0.500 0.500
```

Values from the calculation:
- Energy of formation: 0.2048 eV per atom
- Final energy: -21.9 eV for the cell shown
- Space group: Pm-3m, No. 221
- D(E_F): 1.97 states/eV per cell
- Distance to the lowest polymorph of the same formula: 0 meV per atom

***

Entry 3:
Crystalline Ti8Ga2Sn3 at its relaxed geometry. Source: the Alexandria database, functional PBE. Values from VASP.

The structure in Quantum ESPRESSO input format:
```
&SYSTEM
  ibrav = 0, nat = 13, ntyp = 3
/
ATOMIC_SPECIES
Ti 47.87 Ti.upf
Ga 69.72 Ga.upf
Sn 118.71 Sn.upf
CELL_PARAMETERS angstrom
-0.396 -5.024 -2.042
-1.058 -4.197 3.291
-10.102 -1.747 -0.983
ATOMIC_POSITIONS crystal
Ti 0.725 0.725 0.321
Ti 0.719 0.719 0.843
Ti 0.771 0.275 0.679
Ti 0.229 0.725 0.321
Ti 0.725 0.229 0.321
Ti 0.281 0.281 0.157
Ti 0.275 0.275 0.679
Ti 0.275 0.771 0.679
Ga 0.632 0.632 0.105
Ga 0.368 0.368 0.895
Sn 0.810 0.810 0.569
Sn 0.000 0.000 0.000
Sn 0.190 0.190 0.431
```

Values from the calculation:
- Energy of formation: -0.0286 eV per atom
- Final energy: -81.6 eV for the cell shown
- Space group: R-3m, No. 166
- D(E_F): 13.04 states/eV per cell

***

Number 1 is which compound?
Ti5Ga3Sn